Entry from Alexandria: a geometry-optimized SiRh2Br structure (PBEsol).

Cell: 4.413 4.413 4.413 Å, 60.00 60.00 60.00°
Positions (direct):
Br  0.500  0.500  0.500
Rh  0.000  0.000  0.000
Rh  0.750  0.750  0.750
Si  0.250  0.250  0.250

Calculated values
* ΔE_f (raw): 544 meV/atom
* energy relative to the lowest polymorph listed for this composition: 793 meV/atom
* V: 15.188 Å³/atom
* Fermi-level density of states: 1.53 states/eV per atom

=====

Entry from Alexandria: a geometry-optimized CsAl2TlSb structure (PBEsol).

Cell: 5.793 5.793 6.031 Å, 90.00 90.00 90.00°
Positions (direct):
Cs  0.000  0.000  0.000
Sb  0.500  0.500  0.500
Tl  0.000  0.000  0.500
Al  0.000  0.500  0.000
Al  0.500  0.000  0.000

Calculated values
* ΔE_f (raw): 1478 meV/atom
* V: 40.472 Å³/atom
* Fermi-level density of states: 0.66 states/eV per atom

=====

Entry from Alexandria: a geometry-optimized BaMn2Pt structure (PBEsol).

Cell: 4.363 4.363 6.201 Å, 110.58 90.00 120.00°
Each line ends with the local moment (μB).
Positions (direct):
Ba  0.500  0.000  0.000  -0.08
Mn  0.695  0.391  0.586  3.52
Mn  0.305  0.609  0.414  3.52
Pt  0.000  0.000  0.500  0.25

Calculated values
* formation enthalpy at 0 K: 171.7 meV per atom
* V: 23.356 Å³/atom
* Fermi-level density of states: 1.03 states/eV per atom

=====

Entry from Alexandria: a geometry-optimized CdAgAu2 structure (PBEsol).

Cell: 4.616 4.616 4.616 Å, 60.00 60.00 60.00°
Positions (direct):
Au  0.000  0.000  0.000
Au  0.750  0.750  0.750
Ag  0.500  0.500  0.500
Cd  0.250  0.250  0.250

Calculated values
* formation enthalpy at 0 K: -106.9 meV per atom
* V: 17.392 Å³/atom
* Fermi-level density of states: 0.19 states/eV per atom

=====

Q: What is the Fermi-level density of states in the first record?
A: 1.53 states/eV per atom